Material: LaZnO
Method: DFT, PBE-GGA
State: relaxed

Cell and atoms, written as POSCAR:
```
LaZnO
1.0
3.454 0.000 0.000
0.000 3.454 0.000
0.000 0.000 9.359
La Zn O
2 2 2
Cartesian
0.863 0.863 1.534
2.590 2.590 7.824
0.863 0.863 5.145
2.590 2.590 4.214
0.863 0.863 8.442
2.590 2.590 0.917
```

**Final energy**: -5.603 eV/atom
**SG**: P4/nmm, No. 129
**Energy relative to the elements, uncorrected**: -1.883 eV per atom


Material: Na2Pr4Cl9O2
Method: DFT, PBE-GGA
State: relaxed

Cell and atoms, written as POSCAR:
```
Na2Pr4Cl9O2
1.0
8.307 0.000 0.000
0.000 11.602 0.000
-2.726 0.000 8.964
Na Pr Cl O
4 8 18 4
Cartesian
0.704 0.190 3.867
0.704 5.611 3.867
4.877 5.991 5.096
4.877 11.411 5.096
-0.279 6.348 8.560
-0.279 11.054 8.560
0.934 2.900 6.995
2.779 2.900 1.474
2.801 8.701 7.490
4.647 8.701 1.969
5.860 0.547 0.404
5.860 5.254 0.404
-1.043 0.921 6.154
-1.043 4.880 6.154
0.546 1.109 1.072
0.546 4.692 1.072
-0.050 8.701 6.766
1.809 8.701 1.268
1.413 2.900 4.113
3.325 0.043 2.680
3.325 5.758 2.680
2.256 5.843 6.284
2.256 11.559 6.284
4.168 8.701 4.851
3.772 2.900 7.696
5.630 2.900 2.198
5.035 6.910 7.892
5.035 10.493 7.892
6.624 6.722 2.810
6.624 10.681 2.810
1.022 1.385 8.833
1.022 4.416 8.833
4.558 7.186 0.131
4.558 10.217 0.131
```

**Final energy**: -5.208 eV/atom
**SG**: P2_1/m, No. 11
**Energy relative to the elements, uncorrected**: -2.367 eV per atom